Entry from Alexandria via LeMat-Bulk: a geometry-optimized B4F structure (GGA-PBE).

```
data_B4F
_chemical_formula_sum 'B4 F1'
_space_group_name_H-M_alt 'P m -3 m'
_space_group_IT_number 221
_space_group_name_Hall '-P 4 2 3'
_cell_length_a 3.634
_cell_length_b 3.634
_cell_length_c 3.634
_cell_angle_alpha 90.00
_cell_angle_beta 90.00
_cell_angle_gamma 90.00
loop_
_atom_site_label
_atom_site_fract_x
_atom_site_fract_y
_atom_site_fract_z
B1 0.000 0.000 0.000
B2 0.000 0.500 0.500
F1 0.500 0.500 0.500
```


Entry from Alexandria via LeMat-Bulk: a geometry-optimized BF4 structure (GGA-PBE).

```
data_BF4
_chemical_formula_sum 'B2 F8'
_space_group_name_H-M_alt 'P -1'
_space_group_IT_number 2
_cell_length_a 4.942
_cell_length_b 5.961
_cell_length_c 5.993
_cell_angle_alpha 108.22
_cell_angle_beta 106.60
_cell_angle_gamma 92.94
loop_
_space_group_symop_operation_xyz
'x,y,z'
'-x,-y,-z'
loop_
_atom_site_label
_atom_site_fract_x
_atom_site_fract_y
_atom_site_fract_z
B1 0.231 0.143 0.293
F1 0.033 0.954 0.227
F2 0.158 0.360 0.338
F3 0.372 0.520 0.921
F4 0.499 0.113 0.313
```


Entry from Alexandria via LeMat-Bulk: a geometry-optimized BF3 structure (GGA-PBE).

```
data_BF3
_chemical_formula_sum 'B2 F6'
_space_group_name_H-M_alt 'I m m 2'
_space_group_IT_number 44
_cell_length_a 2.221
_cell_length_b 7.949
_cell_length_c 4.763
_cell_angle_alpha 90.00
_cell_angle_beta 90.00
_cell_angle_gamma 90.00
loop_
_space_group_symop_operation_xyz
'x,y,z'
'-x,-y,z'
'-x,y,z'
'x,-y,z'
'x+1/2,y+1/2,z+1/2'
'-x+1/2,-y+1/2,z+1/2'
'-x+1/2,y+1/2,z+1/2'
'x+1/2,-y+1/2,z+1/2'
loop_
_atom_site_label
_atom_site_fract_x
_atom_site_fract_y
_atom_site_fract_z
B1 0.000 0.000 0.000
F1 0.000 0.367 0.628
F2 0.000 0.500 0.244
```


Entry from Alexandria via LeMat-Bulk: a geometry-optimized BF3 structure (GGA-PBE).

```
data_BF3
_chemical_formula_sum 'B4 F12'
_space_group_name_H-M_alt 'C m c m'
_space_group_IT_number 63
_space_group_name_Hall '-C 2c 2'
_cell_length_a 5.723
_cell_length_b 8.716
_cell_length_c 5.304
_cell_angle_alpha 90.00
_cell_angle_beta 90.00
_cell_angle_gamma 90.00
loop_
_atom_site_label
_atom_site_fract_x
_atom_site_fract_y
_atom_site_fract_z
B1 0.000 0.242 0.250
F1 0.000 0.090 0.250
F2 0.201 0.319 0.250
```


Entry from Alexandria via LeMat-Bulk: a geometry-optimized BF3 structure (GGA-PBE).

```
data_BF3
_chemical_formula_sum 'B8 F24'
_space_group_name_H-M_alt 'P 1 21/c 1'
_space_group_IT_number 14
_cell_length_a 4.794
_cell_length_b 14.249
_cell_length_c 7.474
_cell_angle_alpha 90.00
_cell_angle_beta 107.23
_cell_angle_gamma 90.00
loop_
_space_group_symop_operation_xyz
'x,y,z'
'-x,-y,-z'
'-x,y+1/2,-z+1/2'
'x,-y+1/2,z+1/2'
loop_
_atom_site_label
_atom_site_fract_x
_atom_site_fract_y
_atom_site_fract_z
B1 0.020 0.117 0.277
B2 0.368 0.635 0.737
F1 0.035 0.127 0.103
F2 0.208 0.576 0.192
F3 0.238 0.149 0.420
F4 0.258 0.717 0.771
F5 0.265 0.556 0.786
F6 0.422 0.134 0.845
```


Entry from Alexandria via LeMat-Bulk: a geometry-optimized B2F structure (GGA-PBE).

```
data_B2F
_chemical_formula_sum 'B4 F2'
_space_group_name_H-M_alt 'P 4/n m m'
_space_group_IT_number 129
_cell_length_a 2.817
_cell_length_b 2.817
_cell_length_c 7.507
_cell_angle_alpha 90.00
_cell_angle_beta 90.00
_cell_angle_gamma 90.00
loop_
_space_group_symop_operation_xyz
'x,y,z'
'-x,-y,-z'
'-y+1/2,x,z'
'y+1/2,-x,-z'
'-x+1/2,-y+1/2,z'
'x+1/2,y+1/2,-z'
'y,-x+1/2,z'
'-y,x+1/2,-z'
'x+1/2,-y,-z'
'-x+1/2,y,z'
'-y,-x,-z'
'y,x,z'
'-x,y+1/2,-z'
'x,-y+1/2,z'
'y+1/2,x+1/2,-z'
'-y+1/2,-x+1/2,z'
loop_
_atom_site_label
_atom_site_fract_x
_atom_site_fract_y
_atom_site_fract_z
B1 0.250 0.250 0.148
B2 0.250 0.750 0.000
F1 0.250 0.250 0.325
```


The evaluated E for the records listed, in turn: -3.132 -5.055 -4.892 -5.847 -5.864 -6.052 eV per atom.
The evaluated E_form (uncorrected) for the records listed, in turn: 2.58 -2.22 -1.82 -2.77 -2.79 -0.98 eV per atom.